# 1
VASP calculation (PBE) on a geometry-optimized Nd4YBi5 structure.

Cell lengths 4.588, 6.484, 12.123 Å; angles 105.51, 100.91, 90.00 degrees
Atoms (fractional coordinates):
Nd 0.400 0.400 0.800
Nd 0.801 0.801 0.603
Nd 0.199 0.199 0.397
Nd 0.600 0.600 0.200
Y 0.000 0.000 0.000
Bi 0.597 0.097 0.194
Bi 0.799 0.299 0.599
Bi 0.201 0.701 0.401
Bi 0.000 0.500 0.000
Bi 0.403 0.903 0.806

Properties
Calculated volume ... 34.1 Å³/atom
Symmetry ... Immm, No. 71
Energy of formation ... -0.937 eV/atom



# 2
VASP calculation (PBE) on a geometry-optimized NdYBi2 structure.

Cell lengths 4.516, 4.516, 8.148 Å; angles 73.91, 73.91, 60.00 degrees
Atoms (fractional coordinates):
Nd 0.669 0.669 0.993
Y 0.498 0.498 0.506
Bi 0.084 0.084 0.747
Bi 0.249 0.249 0.253

Properties
Calculated volume ... 34.1 Å³/atom
Symmetry ... R3m, No. 160
E above lowest polymorph ... 0.112 eV/atom
Energy of formation ... -0.810 eV/atom



# 3
VASP calculation (PBE) on a geometry-optimized Nd3YBi4 structure.

Cell lengths 6.474, 6.474, 6.474 Å; angles 90.00, 90.00, 90.00 degrees
Atoms (fractional coordinates):
Y 0.000 0.000 0.000
Nd 0.000 0.500 0.500
Nd 0.500 0.000 0.500
Nd 0.500 0.500 0.000
Bi 0.500 0.000 0.000
Bi 0.000 0.500 0.000
Bi 0.000 0.000 0.500
Bi 0.500 0.500 0.500

Properties
Calculated volume ... 33.9 Å³/atom
Symmetry ... Pm-3m, No. 221
E above lowest polymorph ... 0.000 eV/atom
Energy of formation ... -0.935 eV/atom



# 4
VASP calculation (PBE) on a geometry-optimized Nd5Y5Bi6 structure.

Cell lengths 6.483, 9.406, 9.406 Å; angles 120.43, 90.00, 90.00 degrees
Last column: magnetic moment on the atom in μB.
Atoms (fractional coordinates):
Nd 0.750 0.334 0.665  0.11
Nd 0.750 0.665 0.334  0.11
Nd 0.250 0.665 0.334  0.11
Nd 0.250 0.334 0.665  0.11
Nd 0.000 0.242 0.242  0.01
Y 0.000 0.754 0.001  0.02
Y 0.000 0.001 0.754  0.02
Y 0.500 0.760 0.760  0.01
Y 0.500 0.247 0.999  0.02
Y 0.500 0.999 0.247  0.02
Bi 0.000 0.620 0.620  0.00
Bi 0.000 0.385 0.996  0.00
Bi 0.000 0.996 0.385  0.00
Bi 0.500 0.382 0.382  0.00
Bi 0.500 0.617 0.000  0.00
Bi 0.500 0.000 0.617  0.00

Properties
Calculated volume ... 30.9 Å³/atom
Symmetry ... Amm2, No. 38
Energy of formation ... -0.747 eV/atom



# 5
VASP calculation (PBE) on a geometry-optimized Nd3Y5Bi8 structure.

Cell lengths 9.067, 9.067, 9.062 Å; angles 59.98, 59.98, 60.00 degrees
Atoms (fractional coordinates):
Nd 0.500 0.000 0.500
Nd 0.000 0.000 0.500
Nd 0.000 0.500 0.500
Y 0.500 0.000 0.000
Y 0.500 0.500 0.000
Y 0.000 0.000 0.000
Y 0.000 0.500 0.000
Y 0.500 0.500 0.500
Bi 0.250 0.250 0.755
Bi 0.250 0.745 0.755
Bi 0.745 0.250 0.755
Bi 0.747 0.747 0.758
Bi 0.750 0.750 0.245
Bi 0.750 0.255 0.245
Bi 0.255 0.750 0.245
Bi 0.253 0.253 0.242

Properties
Calculated volume ... 32.9 Å³/atom
Symmetry ... R-3m, No. 166
Energy of formation ... -0.913 eV/atom



# 6
VASP calculation (PBE) on a geometry-optimized Nd4YBi3 structure.

Cell lengths 4.643, 10.293, 9.814 Å; angles 142.30, 103.68, 90.00 degrees
Atoms (fractional coordinates):
Nd 0.130 0.856 0.259
Nd 0.870 0.144 0.741
Nd 0.650 0.456 0.299
Nd 0.350 0.544 0.701
Y 0.000 0.000 0.000
Bi 0.331 0.858 0.662
Bi 0.669 0.142 0.338
Bi 0.500 0.500 0.000

Properties
Calculated volume ... 33.1 Å³/atom
Symmetry ... C2/m, No. 12
Energy of formation ... -0.670 eV/atom



# 7
VASP calculation (PBE) on a geometry-optimized Nd5Zn2Bi structure.

Cell lengths 8.017, 8.017, 9.288 Å; angles 115.57, 115.57, 90.00 degrees
Last column: magnetic moment on the atom in μB.
Atoms (fractional coordinates):
Nd 0.510 0.696 0.706  0.03
Nd 0.804 0.990 0.294  0.03
Nd 0.000 0.000 0.000  0.10
Nd 0.500 0.500 0.000  0.10
Nd 0.196 0.010 0.706  0.03
Nd 0.696 0.196 0.706  0.03
Nd 0.010 0.510 0.706  0.03
Nd 0.304 0.804 0.294  0.03
Nd 0.990 0.490 0.294  0.03
Nd 0.490 0.304 0.294  0.03
Zn 0.129 0.371 0.000  0.00
Zn 0.629 0.129 0.000  0.00
Zn 0.371 0.871 0.000  0.00
Zn 0.871 0.629 0.000  0.00
Bi 0.750 0.750 0.500  -0.01
Bi 0.250 0.250 0.500  -0.01

Properties
Calculated volume ... 29.6 Å³/atom
Symmetry ... I4/mcm, No. 140
Energy of formation ... -0.368 eV/atom



# 8
VASP calculation (PBE) on a geometry-optimized Nd2ZnBi structure.

Cell lengths 5.439, 5.439, 5.439 Å; angles 60.00, 60.00, 60.00 degrees
Atoms (fractional coordinates):
Zn 0.500 0.500 0.500
Nd 0.250 0.250 0.250
Nd 0.750 0.750 0.750
Bi 0.000 0.000 0.000

Properties
Calculated volume ... 28.4 Å³/atom
Symmetry ... Fm-3m, No. 225
E above lowest polymorph ... 0.105 eV/atom
Energy of formation ... -0.464 eV/atom



# 9
VASP calculation (PBE) on a geometry-optimized Nd2ZnBi structure.

Cell lengths 4.463, 4.463, 7.824 Å; angles 73.43, 73.43, 60.00 degrees
Atoms (fractional coordinates):
Zn 0.000 0.000 0.000
Nd 0.252 0.252 0.244
Nd 0.748 0.748 0.756
Bi 0.500 0.500 0.500

Properties
Calculated volume ... 31.9 Å³/atom
Symmetry ... R-3m, No. 166
E above lowest polymorph ... 0.118 eV/atom
Energy of formation ... -0.451 eV/atom



# 10
VASP calculation (PBE) on a geometry-optimized Nd8Zn2Bi structure.

Cell lengths 5.111, 8.312, 9.046 Å; angles 113.63, 106.41, 90.00 degrees
Atoms (fractional coordinates):
Nd 0.400 0.535 0.800
Nd 0.681 0.958 0.361
Nd 0.834 0.756 0.669
Nd 0.950 0.262 0.900
Nd 0.166 0.244 0.331
Nd 0.319 0.042 0.639
Nd 0.600 0.465 0.200
Nd 0.050 0.738 0.100
Zn 0.792 0.349 0.584
Zn 0.208 0.651 0.416
Bi 0.500 0.000 0.000

Properties
Calculated volume ... 30.4 Å³/atom
Symmetry ... C2/m, No. 12
Energy of formation ... -0.222 eV/atom



# 11
VASP calculation (PBE) on a geometry-optimized Nd2ZnBi structure.

Cell lengths 4.044, 4.044, 6.905 Å; angles 90.00, 90.00, 90.00 degrees
Atoms (fractional coordinates):
Zn 0.500 0.500 0.000
Nd 0.000 0.000 0.757
Nd 0.000 0.000 0.243
Bi 0.500 0.500 0.500

Properties
Calculated volume ... 28.2 Å³/atom
Symmetry ... P4/mmm, No. 123
E above lowest polymorph ... 0.048 eV/atom
Energy of formation ... -0.521 eV/atom



# 12
VASP calculation (PBE) on a geometry-optimized Nd7Zn2Bi2 structure.

Cell lengths 7.455, 6.754, 7.455 Å; angles 90.00, 101.12, 90.00 degrees
Atoms (fractional coordinates):
Nd 0.000 0.257 0.500
Nd 0.500 0.743 0.000
Nd 0.000 0.743 0.500
Nd 0.500 0.257 0.000
Nd 0.000 0.000 0.000
Nd 0.500 0.759 0.500
Nd 0.500 0.241 0.500
Zn 0.727 0.000 0.273
Zn 0.273 0.000 0.727
Bi 0.812 0.500 0.812
Bi 0.188 0.500 0.188

Properties
Calculated volume ... 33.5 Å³/atom
Symmetry ... Cmmm, No. 65
Energy of formation ... -0.160 eV/atom



# 13
VASP calculation (PBE) on a geometry-optimized Nd2ZnBi structure.

Cell lengths 4.329, 6.305, 9.074 Å; angles 109.04, 90.00, 90.00 degrees
Atoms (fractional coordinates):
Nd 0.750 0.229 0.441
Nd 0.250 0.771 0.559
Nd 0.750 0.698 0.922
Nd 0.250 0.302 0.078
Zn 0.750 0.619 0.291
Zn 0.250 0.381 0.709
Bi 0.750 0.125 0.790
Bi 0.250 0.875 0.210

Properties
Calculated volume ... 29.3 Å³/atom
Symmetry ... P2_1/m, No. 11
E above lowest polymorph ... 0.000 eV/atom
Energy of formation ... -0.569 eV/atom



# 14
VASP calculation (PBE) on a geometry-optimized NdZn2Bi structure.

Cell lengths 4.639, 4.556, 4.556 Å; angles 90.00, 90.00, 90.00 degrees
Atoms (fractional coordinates):
Zn 0.000 0.000 0.500
Zn 0.000 0.500 0.000
Nd 0.500 0.500 0.500
Bi 0.500 0.000 0.000

Properties
Calculated volume ... 24.1 Å³/atom
Symmetry ... P4/mmm, No. 123
Energy of formation ... -0.334 eV/atom



# 15
VASP calculation (PBE) on a geometry-optimized NdZrBi2 structure.

Cell lengths 4.400, 4.400, 7.708 Å; angles 73.42, 73.42, 60.00 degrees
Atoms (fractional coordinates):
Nd 0.500 0.500 0.500
Zr 0.000 0.000 0.000
Bi 0.257 0.257 0.228
Bi 0.743 0.743 0.772

Properties
Calculated volume ... 30.5 Å³/atom
Symmetry ... R-3m, No. 166
E above lowest polymorph ... 0.000 eV/atom
Energy of formation ... -0.564 eV/atom



# 16
VASP calculation (PBE) on a geometry-optimized NdZrBi2 structure.

Cell lengths 3.711, 3.711, 8.062 Å; angles 90.00, 90.00, 90.00 degrees
Atoms (fractional coordinates):
Nd 0.500 0.500 0.500
Bi 0.000 0.000 0.776
Bi 0.000 0.000 0.224
Zr 0.500 0.500 0.000

Properties
Calculated volume ... 27.8 Å³/atom
Symmetry ... P4/mmm, No. 123
E above lowest polymorph ... 0.129 eV/atom
Energy of formation ... -0.435 eV/atom



# 17
VASP calculation (PBE) on a geometry-optimized NdZrBi2 structure.

Cell lengths 4.312, 4.312, 8.085 Å; angles 74.54, 74.54, 60.00 degrees
Last column: magnetic moment on the atom in μB.
Atoms (fractional coordinates):
Nd 0.669 0.669 0.992  0.02
Zr 0.498 0.498 0.507  0.20
Bi 0.089 0.089 0.733  0.00
Bi 0.244 0.244 0.269  -0.01

Properties
Calculated volume ... 31.0 Å³/atom
Symmetry ... R3m, No. 160
E above lowest polymorph ... 0.051 eV/atom
Energy of formation ... -0.513 eV/atom



# 18
VASP calculation (PBE) on a geometry-optimized NiBi3 structure.

Cell lengths 3.387, 3.350, 9.518 Å; angles 90.00, 90.00, 90.00 degrees
Atoms (fractional coordinates):
Ni 0.000 0.000 0.982
Bi 0.000 0.500 0.458
Bi 0.500 0.500 0.130
Bi 0.500 0.000 0.763

Properties
Calculated volume ... 27.0 Å³/atom
Symmetry ... Pmm2, No. 25
E above lowest polymorph ... 0.147 eV/atom
Energy of formation ... 0.120 eV/atom



# 19
VASP calculation (PBE) on a geometry-optimized NiBi4 structure.

Cell lengths 6.393, 6.393, 6.726 Å; angles 90.00, 90.00, 90.00 degrees
Atoms (fractional coordinates):
Ni 0.000 0.000 0.000
Ni 0.500 0.500 0.500
Bi 0.206 0.209 0.339
Bi 0.794 0.791 0.339
Bi 0.209 0.794 0.661
Bi 0.791 0.206 0.661
Bi 0.294 0.709 0.161
Bi 0.706 0.291 0.161
Bi 0.291 0.294 0.839
Bi 0.709 0.706 0.839

Properties
Calculated volume ... 27.5 Å³/atom
Symmetry ... P-42_1c, No. 114
E above lowest polymorph ... 0.000 eV/atom
Energy of formation ... 0.119 eV/atom



# 20
VASP calculation (PBE) on a geometry-optimized NiBi3 structure.

Cell lengths 3.362, 5.297, 6.943 Å; angles 112.42, 104.01, 90.00 degrees
Atoms (fractional coordinates):
Ni 0.000 0.010 0.000
Bi 0.334 0.706 0.668
Bi 0.500 0.412 0.000
Bi 0.666 0.038 0.332

Properties
Calculated volume ... 27.6 Å³/atom
Symmetry ... Imm2, No. 44
E above lowest polymorph ... 0.120 eV/atom
Energy of formation ... 0.094 eV/atom



| no. | uncorrected energy (eV per cell) | magnetization (μB/cell) | density of states at the Fermi level (states/eV/f.u.) |
| --- | --- | --- | --- |
| 1 | -54.3 | 0.0 | 2.0 |
| 2 | -22.2 | 0.0 | 0.5 |
| 3 | -43.8 | 0.0 | 0.5 |
| 4 | -91.4 | 0.9 | 14.6 |
| 5 | -92.3 | 0.0 | 2.8 |
| 6 | -42.5 | 0.0 | 8.2 |
| 7 | -66.4 | 0.8 | 10.4 |
| 8 | -16.5 | 0.0 | 2.6 |
| 9 | -16.5 | 0.0 | 5.4 |
| 10 | -47.0 | 0.0 | 10.9 |
| 11 | -16.8 | 0.0 | 2.9 |
| 12 | -45.4 | 0.0 | 15.0 |
| 13 | -33.9 | 0.0 | 4.2 |
| 14 | -12.5 | 0.0 | 2.1 |
| 15 | -23.3 | 0.0 | 2.4 |
| 16 | -22.8 | 0.1 | 4.9 |
| 17 | -23.1 | 0.4 | 3.4 |
| 18 | -16.9 | 0.0 | 2.1 |
| 19 | -41.4 | 0.0 | 3.6 |
| 20 | -17.1 | 0.0 | 1.9 |